[1]
Crystalline Re2PtW at its relaxed geometry, computed with PBE.

Output
- E above lowest polymorph: 0.156 eV per atom
- N(E_F): 2.85 states/eV/cell
- Energy of formation from the pure elements: 49 meV/atom

a = 2.774 Å, b = 3.968 Å, c = 5.610 Å
α = 90.00°, β = 90.00°, γ = 90.00°
Space group Pmmm (No. 47)
Inequivalent atoms, fractional coordinates:
1 Re 0.000 0.000 0.237 [2 per cell]
2 Pt 0.500 0.500 0.500 [1 per cell]
3 W 0.500 0.500 0.000 [1 per cell]

=====

[2]
Crystalline Rb3Pu2InO9 at its relaxed geometry, computed with PBE.

Output
- Formation energy (no corrections): -2.161 eV per atom
- N(E_F): 9.22 states/eV/cell

a = 6.0453 Å, b = 6.0453 Å, c = 7.4329 Å
α = 90.00°, β = 90.00°, γ = 120.00°
Space group P-3m1 (No. 164)
Inequivalent atoms, fractional coordinates:
1 Rb 0.0000 0.0000 0.0000 [1 per cell]
2 Rb 0.3333 0.6667 0.6605 [2 per cell]
3 Pu 0.3333 0.6667 0.1686 [2 per cell]
4 In 0.0000 0.0000 0.5000 [1 per cell]
5 O 0.0000 0.5000 0.0000 [3 per cell]
6 O 0.1730 0.3459 0.3240 [6 per cell]

=====

[3]
Crystalline AcBiSbH at its relaxed geometry, computed with PBE.

Output
- VASP energy: -4.358 eV/atom
- N(E_F): 2.28 states/eV/cell

a = 4.604 Å, b = 4.604 Å, c = 9.859 Å
α = 90.00°, β = 90.00°, γ = 90.00°
Space group P4/nmm (No. 129, origin choice 2)
Inequivalent atoms, fractional coordinates:
1 Ac 0.250 0.250 0.132 [2 per cell]
2 Bi 0.250 0.750 0.500 [2 per cell]
3 Sb 0.250 0.250 0.768 [2 per cell]
4 H 0.250 0.750 0.000 [2 per cell]

=====

[4]
Crystalline P2RuAuO8 at its relaxed geometry, computed with PBE.

Output
- Formation energy (no corrections): -1.412 eV per atom
- N(E_F): 9.93 states/eV/cell

a = 8.409 Å, b = 5.253 Å, c = 8.032 Å
α = 90.00°, β = 99.99°, γ = 90.00°
Space group C2/m (No. 12)
Inequivalent atoms, fractional coordinates:
1 P 0.179 0.000 0.199 [4 per cell]
2 Ru 0.000 0.500 0.000 [2 per cell]
3 Au 0.000 0.500 0.500 [2 per cell]
4 O 0.066 0.239 0.176 [8 per cell]
5 O 0.216 0.500 0.941 [4 per cell]
6 O 0.232 0.500 0.619 [4 per cell]

=====

[5]
Crystalline Ba4NaP at its relaxed geometry, computed with PBE.

Output
- N(E_F): 27.90 states/eV/cell
- Energy of formation from the pure elements: -338 meV/atom

a = 6.483 Å, b = 23.267 Å, c = 8.759 Å
α = 90.00°, β = 90.00°, γ = 90.00°
Space group Cmc2_1 (No. 36)
Inequivalent atoms, fractional coordinates:
1 Ba 0.000 0.024 0.000 [4 per cell]
2 Ba 0.000 0.172 0.400 [4 per cell]
3 Ba 0.000 0.204 0.885 [4 per cell]
4 Ba 0.000 0.408 0.174 [4 per cell]
5 Na 0.000 0.373 0.655 [4 per cell]
6 P 0.000 0.093 0.686 [4 per cell]

=====

[6]
Crystalline NbSNCl6 at its relaxed geometry, computed with PBE.

Output
- Formation energy (no corrections): -0.738 eV per atom
- N(E_F): 0.00 states/eV/cell

a = 6.857 Å, b = 12.891 Å, c = 13.502 Å
α = 82.00°, β = 78.78°, γ = 82.04°
Space group P-1 (No. 2)
Inequivalent atoms, fractional coordinates:
1 Nb 0.045 0.033 0.225 [2 per cell]
2 Nb 0.108 0.461 0.725 [2 per cell]
3 S 0.088 0.307 0.520 [2 per cell]
4 S 0.415 0.223 0.187 [2 per cell]
5 N 0.064 0.375 0.600 [2 per cell]
6 N 0.285 0.139 0.220 [2 per cell]
7 Cl 0.064 0.845 0.907 [2 per cell]
8 Cl 0.109 0.654 0.181 [2 per cell]
9 Cl 0.120 0.848 0.658 [2 per cell]
10 Cl 0.140 0.557 0.851 [2 per cell]
11 Cl 0.178 0.928 0.360 [2 per cell]
12 Cl 0.193 0.422 0.314 [2 per cell]
13 Cl 0.205 0.070 0.769 [2 per cell]
14 Cl 0.287 0.560 0.584 [2 per cell]
15 Cl 0.299 0.954 0.108 [2 per cell]
16 Cl 0.361 0.204 0.500 [2 per cell]
17 Cl 0.389 0.342 0.742 [2 per cell]
18 Cl 0.395 0.311 0.045 [2 per cell]

=====

Copy entry 6 word for word.
Crystalline NbSNCl6 at its relaxed geometry, computed with PBE.

Output
- Formation energy (no corrections): -0.738 eV per atom
- N(E_F): 0.00 states/eV/cell

a = 6.857 Å, b = 12.891 Å, c = 13.502 Å
α = 82.00°, β = 78.78°, γ = 82.04°
Space group P-1 (No. 2)
Inequivalent atoms, fractional coordinates:
1 Nb 0.045 0.033 0.225 [2 per cell]
2 Nb 0.108 0.461 0.725 [2 per cell]
3 S 0.088 0.307 0.520 [2 per cell]
4 S 0.415 0.223 0.187 [2 per cell]
5 N 0.064 0.375 0.600 [2 per cell]
6 N 0.285 0.139 0.220 [2 per cell]
7 Cl 0.064 0.845 0.907 [2 per cell]
8 Cl 0.109 0.654 0.181 [2 per cell]
9 Cl 0.120 0.848 0.658 [2 per cell]
10 Cl 0.140 0.557 0.851 [2 per cell]
11 Cl 0.178 0.928 0.360 [2 per cell]
12 Cl 0.193 0.422 0.314 [2 per cell]
13 Cl 0.205 0.070 0.769 [2 per cell]
14 Cl 0.287 0.560 0.584 [2 per cell]
15 Cl 0.299 0.954 0.108 [2 per cell]
16 Cl 0.361 0.204 0.500 [2 per cell]
17 Cl 0.389 0.342 0.742 [2 per cell]
18 Cl 0.395 0.311 0.045 [2 per cell]

=====

What is the formula in the third record? AcBiSbH

=====

Number 3 is which compound? AcBiSbH

=====

Copy entry 4 word for word.
Crystalline P2RuAuO8 at its relaxed geometry, computed with PBE.

Output
- Formation energy (no corrections): -1.412 eV per atom
- N(E_F): 9.93 states/eV/cell

a = 8.409 Å, b = 5.253 Å, c = 8.032 Å
α = 90.00°, β = 99.99°, γ = 90.00°
Space group C2/m (No. 12)
Inequivalent atoms, fractional coordinates:
1 P 0.179 0.000 0.199 [4 per cell]
2 Ru 0.000 0.500 0.000 [2 per cell]
3 Au 0.000 0.500 0.500 [2 per cell]
4 O 0.066 0.239 0.176 [8 per cell]
5 O 0.216 0.500 0.941 [4 per cell]
6 O 0.232 0.500 0.619 [4 per cell]